VASP calculation (PBE with a Hubbard U) on a relaxed structure of VBiIO2.

Lattice parameters (Å, degrees): 4.140 4.140 5.429 90.00 90.00 90.00
Space group P4/mmm (No. 123)
Symmetry-distinct sites (fractional):
V 0.000 0.000 0.000 x1
Bi 0.500 0.500 0.500 x1
I 0.000 0.000 0.500 x1
O 0.000 0.500 0.000 x2

* distance to the lowest polymorph of the same formula: 0.00 kcal/mol of atoms
* volume: 18.610 A^3/atom